Compound: NaGdAl4
Source: the Alexandria database
Functional: PBE
Structure: relaxed

## Properties
- calculated total energy (eV per atom) = -5.284
- DOS at the Fermi energy (states/eV per atom) = 0.453
- space-group type = F-43m (216)
- DFT formation energy (kJ/mol of atoms) = -21
- total magnetic moment (μB/f.u.) = 7.229

Geometry as extended XYZ:
```
6
Lattice="5.594 0.000 0.000 2.797 4.844 0.000 2.797 1.615 4.567" Properties=species:S:1:pos:R:3 pbc="T T T"
Al 4.187 4.042 2.858
Al 7.000 4.042 2.858
Al 5.594 1.605 2.858
Al 5.594 3.229 0.561
Gd 0.000 0.000 0.000
Na 2.797 1.615 1.142
```